Material: Sb2OsRu
Method: DFT, PBE
State: relaxed

Calculated values
formation energy without anion corrections: 28.6 kJ per mole of atoms
volume: 143.41 Å³ per cell
excess energy over the best structure of this formula in the dataset: 0.97 kcal/mol of atoms

Structure (CIF):
```
data_Sb2OsRu
_chemical_formula_sum 'Sb4 Os2 Ru2'
_space_group_name_H-M_alt 'C 1 m 1'
_space_group_IT_number 8
_cell_length_a 9.626
_cell_length_b 3.293
_cell_length_c 4.611
_cell_angle_alpha 90.00
_cell_angle_beta 101.13
_cell_angle_gamma 90.00
loop_
_space_group_symop_operation_xyz
'x,y,z'
'x,-y,z'
'x+1/2,y+1/2,z'
'x+1/2,-y+1/2,z'
loop_
_atom_site_label
_atom_site_type_symbol
_atom_site_fract_x
_atom_site_fract_y
_atom_site_fract_z
_atom_site_occupancy
Sb1 Sb 0.000 0.000 0.000 1
Sb2 Sb 0.245 0.000 0.596 1
Os1 Os 0.231 0.500 0.093 1
Ru1 Ru 0.015 0.500 0.510 1
```

Material: LiCa2InN
Method: DFT, PBE
State: relaxed

Calculated values
formation energy without anion corrections: -41.6 kJ per mole of atoms
volume: 106.77 Å³ per cell

Structure (CIF):
```
data_LiCa2InN
_chemical_formula_sum 'Li1 Ca2 In1 N1'
_space_group_name_H-M_alt 'P 4/m m m'
_space_group_IT_number 123
_space_group_name_Hall '-P 4 2'
_cell_length_a 4.943
_cell_length_b 4.943
_cell_length_c 4.369
_cell_angle_alpha 90.00
_cell_angle_beta 90.00
_cell_angle_gamma 90.00
loop_
_atom_site_label
_atom_site_type_symbol
_atom_site_fract_x
_atom_site_fract_y
_atom_site_fract_z
_atom_site_occupancy
Li1 Li 0.000 0.000 0.000 1
Ca1 Ca 0.000 0.500 0.500 1
In1 In 0.500 0.500 0.000 1
N1 N 0.000 0.000 0.500 1
```